Record 1
This record from the Alexandria database describes a relaxed structure of Hf5Sn3. The functional is GGA-PBEsol.

Cell lengths 8.3302, 8.3302, 5.6480 Å; angles 90.00, 90.00, 120.00 degrees
Fractional coordinates of all 16 atoms:
Hf (0.0000, 0.2447, 0.2500)
Hf (0.0000, 0.7553, 0.7500)
Hf (0.2447, 0.0000, 0.2500)
Hf (0.2447, 0.2447, 0.7500)
Hf (0.3333, 0.6667, 0.0000)
Hf (0.3333, 0.6667, 0.5000)
Hf (0.6667, 0.3333, 0.0000)
Hf (0.6667, 0.3333, 0.5000)
Hf (0.7553, 0.0000, 0.7500)
Hf (0.7553, 0.7553, 0.2500)
Sn (0.0000, 0.3932, 0.7500)
Sn (0.0000, 0.6068, 0.2500)
Sn (0.3932, 0.0000, 0.7500)
Sn (0.3932, 0.3932, 0.2500)
Sn (0.6068, 0.0000, 0.2500)
Sn (0.6068, 0.6068, 0.7500)

Energy of formation from the pure elements: -448 meV/atom
Calculated volume: 339.4 Å³/cell
Magnetic moment: 0.00 μB/f.u.
Density: 12.217 g/cm³
E_tot: -137.75 eV per cell

---

Record 2
This record from the Alexandria database describes a relaxed structure of Li3Mn3SiO8. The functional is GGA-PBEsol.

Cell lengths 5.2009, 5.5390, 5.2710 Å; angles 90.00, 113.00, 90.00 degrees
Fractional coordinates of all 15 atoms:
Li (0.0000, 0.0000, 0.0000)
Li (0.0000, 0.2550, 0.5000)
Li (0.0000, 0.7450, 0.5000)
Mn (0.5000, 0.0000, 0.5000)
Mn (0.5000, 0.2502, 0.0000)
Mn (0.5000, 0.7498, 0.0000)
Si (0.5000, 0.5000, 0.5000)
O (0.2622, 0.0000, 0.7870)
O (0.2785, 0.2628, 0.2978)
O (0.2785, 0.7372, 0.2978)
O (0.3120, 0.5000, 0.7345)
O (0.6880, 0.5000, 0.2655)
O (0.7215, 0.2628, 0.7022)
O (0.7215, 0.7372, 0.7022)
O (0.7378, 0.0000, 0.2130)

Calculated volume: 139.8 Å³/cell
Magnetic moment: 12.03 μB/f.u.
Density: 4.060 g/cm³
E_tot: -112.46 eV per cell

---

Record 3
This record from the Alexandria database describes a relaxed structure of AlCoCu2. The functional is GGA-PBEsol.

Cell lengths 2.9488, 2.9488, 5.3848 Å; angles 90.00, 90.00, 90.00 degrees
Fractional coordinates of all 4 atoms:
Al (0.0000, 0.0000, 0.0000)
Co (0.0000, 0.0000, 0.5000)
Cu (0.5000, 0.5000, 0.2586)
Cu (0.5000, 0.5000, 0.7414)

Energy of formation from the pure elements: -3 meV/atom
Calculated volume: 46.8 Å³/cell
Magnetic moment: 1.17 μB/f.u.
Density: 7.554 g/cm³
E_tot: -20.51 eV per cell

---

Record 4
This record from the Alexandria database describes a relaxed structure of LuCd3. The functional is GGA-PBEsol.

Cell lengths 7.0168, 10.4374, 4.7231 Å; angles 90.00, 90.00, 90.00 degrees
Fractional coordinates of all 16 atoms:
Lu (0.0000, 0.1305, 0.2500)
Lu (0.0000, 0.8695, 0.7500)
Lu (0.5000, 0.3695, 0.7500)
Lu (0.5000, 0.6305, 0.2500)
Cd (0.0000, 0.3217, 0.7500)
Cd (0.0000, 0.6783, 0.2500)
Cd (0.2151, 0.4039, 0.2500)
Cd (0.2151, 0.5961, 0.7500)
Cd (0.2849, 0.0961, 0.7500)
Cd (0.2849, 0.9039, 0.2500)
Cd (0.5000, 0.1783, 0.2500)
Cd (0.5000, 0.8217, 0.7500)
Cd (0.7151, 0.0961, 0.7500)
Cd (0.7151, 0.9039, 0.2500)
Cd (0.7849, 0.4039, 0.2500)
Cd (0.7849, 0.5961, 0.7500)

Energy of formation from the pure elements: -270 meV/atom
Calculated volume: 345.9 Å³/cell
Magnetic moment: 0.00 μB/f.u.
Density: 9.835 g/cm³
E_tot: -38.17 eV per cell

---

Record 5
This record from the Alexandria database describes a relaxed structure of BaSr2. The functional is GGA-PBEsol.

Cell lengths 4.2699, 4.2699, 17.8611 Å; angles 90.00, 90.00, 90.00 degrees
Fractional coordinates of all 6 atoms:
Ba (0.0000, 0.0000, 0.0000)
Ba (0.5000, 0.5000, 0.5000)
Sr (0.0000, 0.0000, 0.3306)
Sr (0.0000, 0.0000, 0.6694)
Sr (0.5000, 0.5000, 0.1694)
Sr (0.5000, 0.5000, 0.8306)

Energy of formation from the pure elements: 10 meV/atom
Calculated volume: 325.7 Å³/cell
Magnetic moment: 0.00 μB/f.u.
ΔE to the lowest computed polymorph: 7 meV/atom
Density: 3.188 g/cm³
E_tot: -11.60 eV per cell

---

Record 6
This record from the Alexandria database describes a relaxed structure of TiS2ClF. The functional is GGA-PBEsol.

Cell lengths 4.6023, 4.6023, 4.6310 Å; angles 90.00, 90.00, 90.00 degrees
Fractional coordinates of all 5 atoms:
Ti (0.0000, 0.0000, 0.0000)
S (0.0000, 0.5000, 0.0000)
S (0.5000, 0.0000, 0.0000)
Cl (0.0000, 0.0000, 0.5000)
F (0.5000, 0.5000, 0.5000)

Calculated volume: 98.1 Å³/cell
Magnetic moment: 1.31 μB/f.u.
Density: 2.818 g/cm³
E_tot: -23.96 eV per cell

---

Record 7
This record from the Alexandria database describes a relaxed structure of BaZn2Br. The functional is GGA-PBEsol.

Cell lengths 4.4614, 4.4614, 5.4853 Å; angles 90.00, 90.00, 90.00 degrees
Fractional coordinates of all 4 atoms:
Ba (0.0000, 0.0000, 0.0000)
Zn (0.0000, 0.5000, 0.5000)
Zn (0.5000, 0.0000, 0.5000)
Br (0.5000, 0.5000, 0.0000)

Calculated volume: 109.2 Å³/cell
Magnetic moment: 0.00 μB/f.u.
Density: 5.293 g/cm³
E_tot: -9.15 eV per cell

---

Record 8
This record from the Alexandria database describes a relaxed structure of In2TePb. The functional is GGA-PBEsol.

Cell lengths 11.8435, 3.9133, 5.3164 Å; angles 90.00, 115.42, 90.00 degrees
Fractional coordinates of all 8 atoms:
In (0.2368, 0.0000, 0.2368)
In (0.2632, 0.5000, 0.7632)
In (0.7368, 0.5000, 0.2368)
In (0.7632, 0.0000, 0.7632)
Te (0.0000, 0.5000, 0.0000)
Te (0.5000, 0.0000, 0.0000)
Pb (0.0000, 0.0000, 0.5000)
Pb (0.5000, 0.5000, 0.5000)

Calculated volume: 222.5 Å³/cell
Magnetic moment: 0.00 μB/f.u.
ΔE to the lowest computed polymorph: 0 meV/atom
Density: 8.423 g/cm³
E_tot: -27.62 eV per cell

---

Record 9
This record from the Alexandria database describes a relaxed structure of AlTeRh2. The functional is GGA-PBEsol.

Cell lengths 9.0625, 3.3518, 4.3146 Å; angles 90.00, 104.36, 90.00 degrees
Fractional coordinates of all 8 atoms:
Al (0.0000, 0.0000, 0.0000)
Al (0.5000, 0.5000, 0.0000)
Te (0.2623, 0.5000, 0.3883)
Te (0.7623, 0.0000, 0.3883)
Rh (0.2712, 0.0000, 0.9029)
Rh (0.4969, 0.0000, 0.5144)
Rh (0.7712, 0.5000, 0.9029)
Rh (0.9969, 0.5000, 0.5144)

Calculated volume: 127.0 Å³/cell
Magnetic moment: 0.00 μB/f.u.
ΔE to the lowest computed polymorph: 25 meV/atom
Density: 9.427 g/cm³
E_tot: -51.04 eV per cell

---

Record 10
This record from the Alexandria database describes a relaxed structure of Zn2HgOs. The functional is GGA-PBEsol.

Cell lengths 9.4576, 2.7433, 4.7895 Å; angles 90.00, 98.95, 90.00 degrees
Fractional coordinates of all 8 atoms:
Zn (0.0000, 0.0000, 0.0000)
Zn (0.2427, 0.0000, 0.7196)
Zn (0.5000, 0.5000, 0.0000)
Zn (0.7427, 0.5000, 0.7196)
Hg (0.4868, 0.0000, 0.4935)
Hg (0.9868, 0.5000, 0.4935)
Os (0.2368, 0.5000, 0.1977)
Os (0.7368, 0.0000, 0.1977)

Energy of formation from the pure elements: 359 meV/atom
Calculated volume: 122.7 Å³/cell
Magnetic moment: 0.00 μB/f.u.
Density: 14.113 g/cm³
E_tot: -29.02 eV per cell

---

Record 11
This record from the Alexandria database describes a relaxed structure of Ti2Ge2Pd. The functional is GGA-PBEsol.

Cell lengths 6.4026, 6.4026, 3.7529 Å; angles 90.00, 90.00, 90.00 degrees
Fractional coordinates of all 10 atoms:
Ti (0.1694, 0.3306, 0.0000)
Ti (0.3306, 0.8306, 0.0000)
Ti (0.6694, 0.1694, 0.0000)
Ti (0.8306, 0.6694, 0.0000)
Ge (0.1348, 0.6348, 0.5000)
Ge (0.3652, 0.1348, 0.5000)
Ge (0.6348, 0.8652, 0.5000)
Ge (0.8652, 0.3652, 0.5000)
Pd (0.0000, 0.0000, 0.5000)
Pd (0.5000, 0.5000, 0.5000)

Energy of formation from the pure elements: -673 meV/atom
Calculated volume: 153.8 Å³/cell
Magnetic moment: 0.00 μB/f.u.
Density: 7.500 g/cm³
E_tot: -71.70 eV per cell

---

Record 12
This record from the Alexandria database describes a relaxed structure of BaLaAu. The functional is GGA-PBEsol.

Cell lengths 3.8789, 3.8789, 13.8889 Å; angles 90.00, 90.00, 90.00 degrees
Fractional coordinates of all 6 atoms:
Ba (0.0000, 0.0000, 0.0000)
Ba (0.5000, 0.5000, 0.5000)
La (0.0000, 0.0000, 0.7426)
La (0.5000, 0.5000, 0.2426)
Au (0.0000, 0.0000, 0.3420)
Au (0.5000, 0.5000, 0.8420)

Energy of formation from the pure elements: -421 meV/atom
Calculated volume: 209.0 Å³/cell
Magnetic moment: 0.00 μB/f.u.
Density: 7.520 g/cm³
E_tot: -25.37 eV per cell

---

> Which of these has the highest calculated volume?

LuCd3

---

> Which of these has the lowest E_tot?

Hf5Sn3

---

> Which formula does entry 1 have?

Hf5Sn3